Entry 1:
# TbScTe2 | the Alexandria database | GGA-PBE | optimized geometry
# Excess energy over the best structure of this formula in the dataset: 72.0 kJ/mol of formula units
# Formation energy from raw total energies: -1.053 eV/atom
data_TbScTe2
_space_group_name_H-M_alt 'F m -3 m'
_space_group_IT_number 225
_space_group_name_Hall '-F 4 2 3'
_cell_length_a 7.4506
_cell_length_b 7.4506
_cell_length_c 7.4506
_cell_angle_alpha 90.00
_cell_angle_beta 90.00
_cell_angle_gamma 90.00
loop_
_atom_site_label
_atom_site_type_symbol
_atom_site_fract_x
_atom_site_fract_y
_atom_site_fract_z
_atom_site_occupancy
Tb1 Tb 0.0000 0.0000 0.0000 1
Sc1 Sc 0.0000 0.0000 0.5000 1
Te1 Te 0.2500 0.2500 0.2500 1

***

Entry 2:
# Zr2InTc | the Alexandria database | GGA-PBE | optimized geometry
# Excess energy over the best structure of this formula in the dataset: 66.1 kJ/mol of formula units
data_Zr2InTc
_space_group_name_H-M_alt 'I m m m'
_space_group_IT_number 71
_space_group_name_Hall '-I 2 2'
_cell_length_a 3.6121
_cell_length_b 4.9322
_cell_length_c 9.0847
_cell_angle_alpha 90.00
_cell_angle_beta 90.00
_cell_angle_gamma 90.00
loop_
_atom_site_label
_atom_site_type_symbol
_atom_site_fract_x
_atom_site_fract_y
_atom_site_fract_z
_atom_site_occupancy
Zr1 Zr 0.0000 0.0000 0.2162 1
In1 In 0.0000 0.5000 0.0000 1
Tc1 Tc 0.0000 0.5000 0.5000 1